Entry 1:
This record from the Alexandria database describes an optimized crystal structure of Ca2InPb2. The functional is GGA-PBE.

Cell lengths 5.3937, 5.3937, 12.6813 Å; angles 90.00, 90.00, 90.00 degrees
Closest atoms and distances in Å follow each position.
Space group I4/mmm (No. 139)
Inequivalent atoms, fractional coordinates:
Ca (0.0000, 0.5000, 0.2500)  4 Pb 3.22
In (0.0000, 0.0000, 0.0000)  8 Pb 4.07, 8 Ca 4.16
Pb (0.0000, 0.0000, 0.3887)  1 Pb 2.82

The formation energy from the elements comes out at -68 meV/atom. The calculation puts the calculated volume at 36.89 Å³ per atom. The energy above the most stable polymorph in this dataset comes out at 342 meV per atom.


Entry 2:
This record from the Alexandria database describes an optimized crystal structure of Cs2LiAsBr6. The functional is GGA-PBE.

Cell lengths 7.7784, 7.7784, 11.0152 Å; angles 90.00, 90.00, 90.00 degrees
Closest atoms and distances in Å follow each position.
Space group I4/mmm (No. 139)
Inequivalent atoms, fractional coordinates:
Cs (0.0000, 0.5000, 0.2500)  12 Br 3.89
Li (0.0000, 0.0000, 0.0000)  6 Br 2.82-2.83
As (0.0000, 0.0000, 0.5000)  6 Br 2.68
Br (0.0000, 0.0000, 0.2566)  1 As 2.68, 1 Li 2.83
Br (0.2438, 0.2438, 0.5000)  1 As 2.68, 1 Li 2.82

For the formation energy from raw total energies, the calculation gives -1.21 eV/atom. The calculation puts the calculated volume at 33.32 Å³ per atom. The energy above the most stable polymorph in this dataset comes out at 6 meV per atom.


Entry 3:
This record from the Alexandria database describes an optimized crystal structure of CsErCuF6. The functional is GGA-PBE.

Cell lengths 7.5862, 8.0649, 10.9973 Å; angles 90.00, 90.00, 90.00 degrees
Closest atoms and distances in Å follow each position.
Space group Imma (No. 74)
Inequivalent atoms, fractional coordinates:
Cs (0.0000, 0.2500, 0.0790)  9 F 3.15-3.41
Er (0.0000, 0.0000, 0.5000)  6 F 2.15-2.19
Cu (0.2500, 0.2500, 0.7500)  6 F 1.95-2.09
F (0.0000, 0.2500, 0.4216)  2 Er 2.19
F (0.0000, 0.2500, 0.7927)  2 Cu 1.95
F (0.2137, 0.0665, 0.6187)  1 Cu 2.09, 1 Er 2.15

For the formation energy from raw total energies, the calculation gives -2.97 eV/atom. The calculation puts the calculated volume at 18.69 Å³ per atom.


Entry 4:
This record from the Alexandria database describes an optimized crystal structure of Ga2SnB. The functional is GGA-PBE.

Cell lengths 5.3433, 5.4783, 5.9969 Å; angles 66.39, 80.68, 69.72 degrees
Closest atoms and distances in Å follow each position.
Space group P1 (No. 1)
Inequivalent atoms, fractional coordinates:
Ga (0.0000, 0.0000, 0.0000)  1 B 2.36
Ga (0.0037, 0.9051, 0.5526)  1 B 2.29
Ga (0.1906, 0.4254, 0.2002)  2 B 2.11
Ga (0.6754, 0.5721, 0.8632)  1 B 2.18
Sn (0.4455, 0.1874, 0.7793)  1 B 2.36
Sn (0.5907, 0.7588, 0.3476)  2 B 2.49-2.76
B (0.5596, 0.3114, 0.3595)  1 B 1.65
B (0.8533, 0.3024, 0.2179)  1 B 1.65

The formation energy from the elements comes out at 309 meV/atom. The calculation puts the calculated volume at 18.85 Å³ per atom. The energy above the most stable polymorph in this dataset comes out at 52 meV per atom.


Entry 5:
This record from the Alexandria database describes an optimized crystal structure of Pm3Ge4Pd. The functional is GGA-PBE.

Cell lengths 4.4374, 5.9556, 14.9089 Å; angles 90.00, 90.00, 90.00 degrees
Closest atoms and distances in Å follow each position.
Space group Immm (No. 71)
Inequivalent atoms, fractional coordinates:
Pm (0.0000, 0.0000, 0.0000)  8 Ge 3.14
Pm (0.0000, 0.5000, 0.1920)  6 Ge 2.99-3.04
Ge (0.0000, 0.2883, 0.3778)  1 Pd 2.50, 1 Ge 2.52
Pd (0.0000, 0.0000, 0.5000)  4 Ge 2.50

The formation energy from the elements comes out at -713 meV/atom. The calculation puts the calculated volume at 24.63 Å³ per atom.


Entry 6:
This record from the Alexandria database describes an optimized crystal structure of Mn2IrPt. The functional is GGA-PBE.

Cell lengths 2.6927, 2.6927, 7.5359 Å; angles 90.00, 90.00, 90.00 degrees
Closest atoms and distances in Å follow each position.
Space group P4mm (No. 99)
Inequivalent atoms, fractional coordinates:
Mn (0.0000, 0.0000, 0.0000)  4 Ir 2.56, 8 Mn 2.59-2.69
Mn (0.5000, 0.5000, 0.2340)  8 Mn 2.59-2.69, 4 Pt 2.70
Ir (0.5000, 0.5000, 0.7724)  4 Mn 2.56, 4 Ir 2.69, 4 Pt 2.87
Pt (0.0000, 0.0000, 0.4880)  4 Pt 2.69, 4 Mn 2.70, 4 Ir 2.87

The formation energy from the elements comes out at -81 meV/atom. The calculation puts the calculated volume at 13.66 Å³ per atom. The energy above the most stable polymorph in this dataset comes out at 167 meV per atom.


Entry 7:
This record from the Alexandria database describes an optimized crystal structure of NdHg3. The functional is GGA-PBE.

Cell lengths 4.7073, 4.7073, 4.7073 Å; angles 90.00, 90.00, 90.00 degrees
Closest atoms and distances in Å follow each position.
Space group Pm-3m (No. 221)
Inequivalent atoms, fractional coordinates:
Nd (0.0000, 0.0000, 0.0000)  12 Hg 3.33
Hg (0.0000, 0.5000, 0.5000)  8 Hg 3.33, 4 Nd 3.33

The formation energy from the elements comes out at -349 meV/atom. The calculation puts the calculated volume at 26.08 Å³ per atom.


Entry 8:
This record from the Alexandria database describes an optimized crystal structure of GdY2Hg. The functional is GGA-PBE.

Cell lengths 3.6182, 3.6182, 8.9616 Å; angles 90.00, 90.00, 90.00 degrees
Closest atoms and distances in Å follow each position.
Space group P4/mmm (No. 123)
Inequivalent atoms, fractional coordinates:
Gd (0.0000, 0.0000, 0.0000)  8 Y 3.59, 4 Gd 3.62
Y (0.5000, 0.5000, 0.2803)  4 Hg 3.23, 4 Gd 3.59
Hg (0.0000, 0.0000, 0.5000)  8 Y 3.23

The formation energy from the elements comes out at -230 meV/atom. The calculation puts the calculated volume at 29.33 Å³ per atom. The energy above the most stable polymorph in this dataset comes out at 0 meV per atom.


Entry 9:
This record from the Alexandria database describes an optimized crystal structure of MgTl3Cd. The functional is GGA-PBE.

Cell lengths 5.5580, 5.5580, 5.5580 Å; angles 90.00, 90.00, 90.00 degrees
Closest atoms and distances in Å follow each position.
Space group Pm-3m (No. 221)
Inequivalent atoms, fractional coordinates:
Mg (0.0000, 0.0000, 0.0000)  6 Tl 2.78
Tl (0.0000, 0.0000, 0.5000)  2 Mg 2.78
Cd (0.5000, 0.5000, 0.5000)  12 Tl 3.93

The formation energy from the elements comes out at 272 meV/atom. The calculation puts the calculated volume at 34.34 Å³ per atom. The energy above the most stable polymorph in this dataset comes out at 0 meV per atom.


Entry 10:
This record from the Alexandria database describes an optimized crystal structure of ErZn2Pb. The functional is GGA-PBE.

Cell lengths 3.5131, 3.5131, 7.4090 Å; angles 90.00, 90.00, 90.00 degrees
Closest atoms and distances in Å follow each position.
Space group P4/mmm (No. 123)
Inequivalent atoms, fractional coordinates:
Er (0.0000, 0.0000, 0.0000)  8 Zn 3.05
Zn (0.5000, 0.5000, 0.2398)  4 Er 3.05, 4 Pb 3.14
Pb (0.0000, 0.0000, 0.5000)  8 Zn 3.14, 4 Pb 3.51

The formation energy from the elements comes out at -120 meV/atom. The calculation puts the calculated volume at 22.86 Å³ per atom. The energy above the most stable polymorph in this dataset comes out at 123 meV per atom.


Entry 11:
This record from the Alexandria database describes an optimized crystal structure of Sc2Ge2I. The functional is GGA-PBE.

Cell lengths 7.7321, 7.7321, 3.7599 Å; angles 90.00, 90.00, 90.00 degrees
Closest atoms and distances in Å follow each position.
Space group P4/mbm (No. 127)
Inequivalent atoms, fractional coordinates:
Sc (0.1727, 0.3273, 0.0000)  2 I 2.86, 6 Ge 2.94-3.00
Ge (0.1136, 0.6136, 0.5000)  1 Ge 2.48
I (0.0000, 0.0000, 0.0000)  4 Sc 2.86

For the formation energy from raw total energies, the calculation gives -0.58 eV/atom. The calculation puts the calculated volume at 22.48 Å³ per atom.


Entry 12:
This record from the Alexandria database describes an optimized crystal structure of ZrCr2Br. The functional is GGA-PBE.

Cell lengths 3.3089, 3.3089, 25.8523 Å; angles 90.00, 90.00, 120.00 degrees
Closest atoms and distances in Å follow each position.
Space group R-3m (No. 166, hexagonal axes)
Inequivalent atoms, fractional coordinates:
Zr (0.0000, 0.0000, 0.0000)  6 Cr 2.90
Cr (0.0000, 0.0000, 0.2488)  3 Br 2.86, 3 Zr 2.90
Br (0.0000, 0.0000, 0.5000)  6 Cr 2.86

For the formation energy from raw total energies, the calculation gives 0.40 eV/atom. The calculation puts the calculated volume at 20.43 Å³ per atom. The energy above the most stable polymorph in this dataset comes out at 325 meV per atom.


Entry 13:
This record from the Alexandria database describes an optimized crystal structure of BaMn2Se. The functional is GGA-PBE.

Cell lengths 5.2413, 5.2413, 7.4448 Å; angles 90.00, 90.00, 90.00 degrees
Closest atoms and distances in Å follow each position.
Space group I-4m2 (No. 119)
Inequivalent atoms, fractional coordinates:
Ba (0.0000, 0.0000, 0.0000)  4 Mn 3.21, 4 Se 3.21
Mn (0.0000, 0.0000, 0.5000)  4 Mn 3.21, 4 Se 3.21
Mn (0.0000, 0.5000, 0.7500)  4 Ba 3.21, 4 Mn 3.21
Se (0.0000, 0.5000, 0.2500)  4 Ba 3.21, 4 Mn 3.21

For the formation energy from raw total energies, the calculation gives 0.35 eV/atom. The calculation puts the calculated volume at 25.56 Å³ per atom.


Entry 14:
This record from the Alexandria database describes an optimized crystal structure of Ba2ScH. The functional is GGA-PBE.

Cell lengths 8.0791, 8.0791, 8.6285 Å; angles 90.00, 90.00, 90.00 degrees
Closest atoms and distances in Å follow each position.
Space group I-42d (No. 122)
Inequivalent atoms, fractional coordinates:
Ba (0.1312, 0.2500, 0.1250)  2 H 2.52
Sc (0.0000, 0.0000, 0.5000)  8 Ba 3.76-3.96
H (0.0000, 0.0000, 0.0000)  4 Ba 2.52

The calculation puts the calculated volume at 35.20 Å³ per atom. The energy above the most stable polymorph in this dataset comes out at 0 meV per atom.


Entry 15:
This record from the Alexandria database describes an optimized crystal structure of Cu2TeSe. The functional is GGA-PBE.

Cell lengths 3.1023, 3.7901, 15.5403 Å; angles 90.00, 90.00, 90.00 degrees
Closest atoms and distances in Å follow each position.
Space group Imm2 (No. 44)
Inequivalent atoms, fractional coordinates:
Cu (0.0000, 0.0000, 0.0000)  2 Cu 2.66, 4 Te 2.78, 2 Se 2.85
Cu (0.0000, 0.5000, 0.1204)  4 Se 2.50, 2 Cu 2.66
Te (0.0000, 0.0000, 0.4156)  4 Cu 2.78, 2 Te 3.10
Se (0.0000, 0.5000, 0.6539)  4 Cu 2.50

For the formation energy from raw total energies, the calculation gives 0.12 eV/atom. The calculation puts the calculated volume at 22.84 Å³ per atom. The energy above the most stable polymorph in this dataset comes out at 200 meV per atom.


Entry 16:
This record from the Alexandria database describes an optimized crystal structure of Pm2Cd2Pd3. The functional is GGA-PBE.

Cell lengths 10.1065, 4.2859, 7.3939 Å; angles 90.00, 106.14, 90.00 degrees
Closest atoms and distances in Å follow each position.
Space group C2/m (No. 12)
Inequivalent atoms, fractional coordinates:
Pm (0.1275, 0.0000, 0.3033)  6 Pd 2.92-3.07
Cd (0.1263, 0.5000, 0.9329)  4 Pd 2.81-3.10, 1 Cd 2.99
Pd (0.0000, 0.5000, 0.5000)  4 Pd 2.90, 4 Pm 3.07, 2 Cd 3.10
Pd (0.1681, 0.0000, 0.7101)  3 Cd 2.81-2.87, 2 Pd 2.90, 4 Pm 2.92-3.00

The formation energy from the elements comes out at -664 meV/atom. The calculation puts the calculated volume at 21.97 Å³ per atom.


Entry 17:
This record from the Alexandria database describes an optimized crystal structure of YPu2Ga9. The functional is GGA-PBE.

Cell lengths 5.5049, 5.5049, 27.0346 Å; angles 90.00, 90.00, 120.00 degrees
Closest atoms and distances in Å follow each position.
Space group R-3m (No. 166, hexagonal axes)
Inequivalent atoms, fractional coordinates:
Y (0.0000, 0.0000, 0.0000)  6 Ga 3.18
Pu (0.0000, 0.0000, 0.1424)  12 Ga 3.17-3.28, 3 Pu 3.44
Ga (0.0000, 0.0000, 0.3351)  6 Ga 2.75-2.80
Ga (0.0000, 0.0000, 0.5000)  6 Ga 2.76
Ga (0.0067, 0.5034, 0.9159)  7 Ga 2.70-2.81

The formation energy from the elements comes out at -304 meV/atom. The calculation puts the calculated volume at 19.71 Å³ per atom. The energy above the most stable polymorph in this dataset comes out at 125 meV per atom.


Entry 18:
This record from the Alexandria database describes an optimized crystal structure of FeTc2RhN. The functional is GGA-PBE.

Cell lengths 4.0091, 4.0091, 3.8563 Å; angles 90.00, 90.00, 90.00 degrees
Closest atoms and distances in Å follow each position.
Space group P4/mmm (No. 123)
Inequivalent atoms, fractional coordinates:
Fe (0.0000, 0.0000, 0.0000)  2 N 1.93
Tc (0.0000, 0.5000, 0.5000)  2 N 2.00
Rh (0.5000, 0.5000, 0.0000)  8 Tc 2.78, 4 Fe 2.83
N (0.0000, 0.0000, 0.5000)  2 Fe 1.93, 4 Tc 2.00

For the formation energy from raw total energies, the calculation gives 0.03 eV/atom. The calculation puts the calculated volume at 12.40 Å³ per atom.


Entry 19:
This record from the Alexandria database describes an optimized crystal structure of Pr4Nd5Y2. The functional is GGA-PBE.

Cell lengths 11.3967, 7.5255, 9.4288 Å; angles 90.00, 105.77, 90.00 degrees
Closest atoms and distances in Å follow each position.
Space group C2/m (No. 12)
Inequivalent atoms, fractional coordinates:
Pr (0.1692, 0.0000, 0.1194)  2 Pr 3.49-3.90, 6 Nd 3.55-3.58, 3 Y 3.56-3.78
Pr (0.1943, 0.0000, 0.4971)  5 Nd 3.48-3.75, 1 Pr 3.49, 1 Y 3.56
Nd (0.0000, 0.5000, 0.5000)  4 Nd 3.24, 2 Pr 3.48
Nd (0.0710, 0.2194, 0.7707)  2 Nd 3.24-3.30, 2 Y 3.55-3.57, 3 Pr 3.55-3.58
Y (0.1408, 0.5000, 0.1238)  1 Y 3.42, 4 Nd 3.55-3.57, 4 Pr 3.56-3.78

The formation energy from the elements comes out at 105 meV/atom. The calculation puts the calculated volume at 35.37 Å³ per atom. The energy above the most stable polymorph in this dataset comes out at 0 meV per atom.